Compound: TbDy4YSe8
Source: Alexandria
Functional: PBE
Structure: optimized geometry

Unit cell a=8.422 b=8.422 c=8.425 alpha=60.01 beta=60.01 gamma=60.00
Positions (direct):
Tb (0.375, 0.375, 0.876)
Dy (0.625, 0.625, 0.125)
Dy (0.000, 0.500, 0.500)
Dy (0.500, 0.000, 0.500)
Dy (0.000, 0.000, 0.500)
Y (0.000, 0.000, 0.000)
Se (0.243, 0.773, 0.741)
Se (0.773, 0.243, 0.741)
Se (0.243, 0.243, 0.741)
Se (0.242, 0.242, 0.274)
Se (0.757, 0.228, 0.258)
Se (0.228, 0.757, 0.258)
Se (0.757, 0.757, 0.258)
Se (0.757, 0.757, 0.728)

Results
The value obtained for the density of states at the Fermi level is 0.62 states/eV per atom. The formation energy without anion corrections is -166 kJ per mole of atoms. For the total energy, the calculation gives -5.818 eV/atom.

Compound: LaIn3Cl6
Source: Alexandria
Functional: PBE
Structure: optimized geometry

Unit cell a=7.539 b=8.402 c=11.016 alpha=90.00 beta=86.84 gamma=90.00
Positions (direct):
La (0.500, 0.500, 0.500)
La (0.000, 0.000, 0.000)
In (0.520, 0.933, 0.775)
In (0.500, 0.500, 0.000)
In (0.480, 0.067, 0.225)
In (0.020, 0.567, 0.275)
In (0.000, 0.000, 0.500)
In (0.980, 0.433, 0.725)
Cl (0.682, 0.162, 0.963)
Cl (0.666, 0.230, 0.591)
Cl (0.643, 0.424, 0.267)
Cl (0.357, 0.576, 0.733)
Cl (0.334, 0.770, 0.409)
Cl (0.318, 0.838, 0.037)
Cl (0.182, 0.338, 0.463)
Cl (0.166, 0.270, 0.091)
Cl (0.143, 0.076, 0.767)
Cl (0.857, 0.924, 0.233)
Cl (0.834, 0.730, 0.909)
Cl (0.818, 0.662, 0.537)

Results
The value obtained for the density of states at the Fermi level is 0.00 states/eV per atom. The formation energy without anion corrections is -140 kJ per mole of atoms. For the total energy, the calculation gives -3.869 eV/atom.